{
  "formula": "NbPbSe2O8",
  "functional": "PBE-GGA",
  "state": "optimized geometry",
  "lattice_angstrom": [[3.720, -3.420, 0.000], [3.720, 3.420, 0.000], [-0.101, 0.000, 6.866]],
  "species": ["Nb", "Pb", "Se", "Se", "O", "O", "O", "O", "O", "O", "O", "O"],
  "frac_coords": [[0.000, 0.000, 0.000], [0.000, 0.000, 0.500], [0.436, 0.436, 0.237], [0.564, 0.564, 0.763], [0.162, 0.771, 0.213], [0.229, 0.838, 0.787], [0.278, 0.278, 0.050], [0.314, 0.314, 0.445], [0.686, 0.686, 0.555], [0.722, 0.722, 0.950], [0.771, 0.162, 0.213], [0.838, 0.229, 0.787]],
  "sg": "C2/m",
  "mass_density_g_cm3": 5.6,
  "formation_energy_uncorrected_ev_per_atom": -1.2346,
  "total_energy_ev_per_cell": -75.2
}

{
  "formula": "CeDy2HoN4",
  "functional": "PBE-GGA",
  "state": "optimized geometry",
  "lattice_angstrom": [[6.034, 0.000, 0.000], [0.000, 3.493, 0.000], [-1.996, 0.000, 5.695]],
  "species": ["Ce", "Dy", "Dy", "Ho", "N", "N", "N", "N"],
  "frac_coords": [[0.000, 0.000, 0.000], [0.000, 0.500, 0.500], [0.500, 0.000, 0.500], [0.500, 0.500, 0.000], [0.249, 0.000, 0.753], [0.251, 0.500, 0.249], [0.749, 0.500, 0.751], [0.751, 0.000, 0.247]],
  "sg": "P2/m",
  "mass_density_g_cm3": 9.5,
  "formation_energy_uncorrected_ev_per_atom": -1.6600,
  "total_energy_ev_per_cell": -66.3
}

Copy entry 1 word for word.
{
  "formula": "NbPbSe2O8",
  "functional": "PBE-GGA",
  "state": "optimized geometry",
  "lattice_angstrom": [[3.720, -3.420, 0.000], [3.720, 3.420, 0.000], [-0.101, 0.000, 6.866]],
  "species": ["Nb", "Pb", "Se", "Se", "O", "O", "O", "O", "O", "O", "O", "O"],
  "frac_coords": [[0.000, 0.000, 0.000], [0.000, 0.000, 0.500], [0.436, 0.436, 0.237], [0.564, 0.564, 0.763], [0.162, 0.771, 0.213], [0.229, 0.838, 0.787], [0.278, 0.278, 0.050], [0.314, 0.314, 0.445], [0.686, 0.686, 0.555], [0.722, 0.722, 0.950], [0.771, 0.162, 0.213], [0.838, 0.229, 0.787]],
  "sg": "C2/m",
  "mass_density_g_cm3": 5.6,
  "formation_energy_uncorrected_ev_per_atom": -1.2346,
  "total_energy_ev_per_cell": -75.2
}

What is the formula in the second record?
CeDy2HoN4